Below is crystalline KCd2Ag2 at its relaxed geometry, with properties calculated at the PBE level.

The final energy is -8.64 eV/f.u. The crystal system is tetragonal. The value obtained for the relative energy among the computed polymorphs is 0.042 eV/atom.

It has space group I4/mmm (No. 139), with a = 5.006 Å, b = 5.006 Å, c = 10.999 Å, α = 90.00°, β = 90.00° and γ = 90.00°. The asymmetric unit holds K at (0.000, 0.000, 0.000), Cd at (0.000, 0.000, 0.370) and Ag at (0.000, 0.500, 0.250).